A relaxed structure of SrZr2Zn, computed with PBE.

Volume (Å³/atom): 24.4
DFT total energy (eV/cell): -37.0
Formation energy (eV per atom): 0.39
D(E_F) (states/eV/atom): 1.341

Cell and atoms, written as CIF:
```
data_SrZr2Zn
_chemical_formula_sum 'Sr2 Zr4 Zn2'
_space_group_name_H-M_alt 'I -4 m 2'
_space_group_IT_number 119
_space_group_name_Hall 'I -4 -2'
_cell_length_a 4.626
_cell_length_b 4.626
_cell_length_c 9.104
_cell_angle_alpha 90.00
_cell_angle_beta 90.00
_cell_angle_gamma 90.00
loop_
_atom_site_label
_atom_site_type_symbol
_atom_site_fract_x
_atom_site_fract_y
_atom_site_fract_z
Sr1 Sr 0.000 0.000 0.000
Zr1 Zr 0.000 0.000 0.500
Zr2 Zr 0.000 0.500 0.250
Zn1 Zn 0.000 0.500 0.750
```